Li2LaMgCd4 | GGA-PBE | optimized geometry

The density of states at the Fermi level comes out at 0.59 states/eV per atom. As for the space group: R-3m (166). Its formation energy is -0.2163 eV/atom. Its total moment is 0.000 μB/atom.

Cell: 4.788 4.788 9.810 Å, 75.87 75.87 60.00°
Element x y z (fractional)
Li (0.765, 0.765, 0.705)
Li (0.235, 0.235, 0.295)
La (0.000, 0.000, 0.000)
Mg (0.500, 0.500, 0.500)
Cd (0.397, 0.397, 0.810)
Cd (0.876, 0.876, 0.371)
Cd (0.124, 0.124, 0.629)
Cd (0.603, 0.603, 0.190)

---

Li2La2MgCd5 | GGA-PBE | optimized geometry

The density of states at the Fermi level comes out at 0.71 states/eV per atom. As for the space group: P4/mbm (127). Its formation energy is -0.2548 eV/atom. Its total moment is 0.000 μB/atom.

Cell: 4.082 10.813 10.813 Å, 90.00 90.00 90.00°
Element x y z (fractional)
Li (0.000, 0.115, 0.615)
Li (0.000, 0.885, 0.385)
Li (0.000, 0.615, 0.885)
Li (0.000, 0.385, 0.115)
La (0.000, 0.682, 0.182)
La (0.000, 0.318, 0.818)
La (0.000, 0.182, 0.318)
La (0.000, 0.818, 0.682)
Mg (0.000, 0.000, 0.000)
Mg (0.000, 0.500, 0.500)
Cd (0.500, 0.206, 0.056)
Cd (0.500, 0.794, 0.944)
Cd (0.500, 0.056, 0.794)
Cd (0.500, 0.706, 0.444)
Cd (0.500, 0.944, 0.206)
Cd (0.500, 0.294, 0.556)
Cd (0.500, 0.556, 0.706)
Cd (0.500, 0.444, 0.294)
Cd (0.500, 0.500, 0.000)
Cd (0.500, 0.000, 0.500)

---

LiLaMgCd2 | GGA-PBE | optimized geometry

The density of states at the Fermi level comes out at 0.64 states/eV per atom. As for the space group: P4/mmm (123). Its formation energy is -0.1167 eV/atom. Its total moment is 0.000 μB/atom.

Cell: 4.966 4.966 4.945 Å, 90.00 90.00 90.00°
Element x y z (fractional)
Mg (0.000, 0.000, 0.500)
Cd (0.000, 0.500, 0.000)
Cd (0.500, 0.000, 0.000)
Li (0.000, 0.000, 0.000)
La (0.500, 0.500, 0.500)

---

LiLaMg5Cd2 | GGA-PBE | optimized geometry

The density of states at the Fermi level comes out at 0.54 states/eV per atom. As for the space group: P4/mmm (123). Its formation energy is 0.0410 eV/atom. Its total moment is 0.000 μB/atom.

Cell: 5.084 5.084 9.416 Å, 90.00 90.00 90.00°
Element x y z (fractional)
Li (0.000, 0.000, 0.000)
La (0.000, 0.000, 0.500)
Mg (0.000, 0.500, 0.273)
Mg (0.500, 0.000, 0.273)
Mg (0.000, 0.500, 0.727)
Mg (0.500, 0.000, 0.727)
Mg (0.500, 0.500, 0.500)
Cd (0.500, 0.500, 0.145)
Cd (0.500, 0.500, 0.855)

---

Li2La2Mg5Cd | GGA-PBE | optimized geometry

The density of states at the Fermi level comes out at 1.07 states/eV per atom. As for the space group: P4/mbm (127). Its formation energy is -0.0682 eV/atom. Its total moment is 0.000 μB/atom.

Cell: 4.516 10.562 10.562 Å, 90.00 90.00 90.00°
Element x y z (fractional)
Li (0.000, 0.111, 0.611)
Li (0.000, 0.889, 0.389)
Li (0.000, 0.611, 0.889)
Li (0.000, 0.389, 0.111)
La (0.000, 0.684, 0.184)
La (0.000, 0.316, 0.816)
La (0.000, 0.184, 0.316)
La (0.000, 0.816, 0.684)
Mg (0.500, 0.206, 0.059)
Mg (0.500, 0.794, 0.941)
Mg (0.500, 0.059, 0.794)
Mg (0.500, 0.706, 0.441)
Mg (0.500, 0.941, 0.206)
Mg (0.500, 0.294, 0.559)
Mg (0.500, 0.559, 0.706)
Mg (0.500, 0.441, 0.294)
Mg (0.500, 0.500, 0.000)
Mg (0.500, 0.000, 0.500)
Cd (0.000, 0.000, 0.000)
Cd (0.000, 0.500, 0.500)

---

LiLaMg2Cd | GGA-PBE | optimized geometry

The density of states at the Fermi level comes out at 0.62 states/eV per atom. As for the space group: P4/mmm (123). Its formation energy is -0.0493 eV/atom. Its total moment is 0.000 μB/atom.

Cell: 4.979 4.979 4.978 Å, 90.00 90.00 90.00°
Element x y z (fractional)
Mg (0.000, 0.500, 0.000)
Mg (0.500, 0.000, 0.000)
Cd (0.000, 0.000, 0.500)
Li (0.000, 0.000, 0.000)
La (0.500, 0.500, 0.500)

---

LiLaMg2Cd2 | GGA-PBE | optimized geometry

The density of states at the Fermi level comes out at 0.93 states/eV per atom. As for the space group: I4/mmm (139). Its formation energy is 0.1507 eV/atom. Its total moment is 0.050 μB/atom.

Cell: 5.448 5.448 6.991 Å, 112.93 112.93 90.00°
Last column: magnetic moment on the atom in μB.
Element x y z (fractional)
Li (0.000, 0.000, 0.000)  0.01
La (0.500, 0.500, 0.000)  0.07
Mg (0.250, 0.750, 0.500)  0.00
Mg (0.750, 0.250, 0.500)  0.00
Cd (0.783, 0.783, 0.566)  0.00
Cd (0.217, 0.217, 0.434)  0.00

---

LiLa2CdN | GGA-PBE | optimized geometry

The density of states at the Fermi level comes out at 0.86 states/eV per atom. As for the space group: P4/mmm (123). Its total moment is 0.000 μB/atom. The formation energy (no corrections) comes out at -0.6061 eV/atom.

Cell: 5.143 5.143 4.364 Å, 90.00 90.00 90.00°
Element x y z (fractional)
N (0.000, 0.000, 0.000)
Cd (0.500, 0.500, 0.500)
Li (0.000, 0.000, 0.500)
La (0.000, 0.500, 0.000)
La (0.500, 0.000, 0.000)

---

Li2LaCdN | GGA-PBE | optimized geometry

The density of states at the Fermi level comes out at 0.77 states/eV per atom. As for the space group: P4/mmm (123). Its total moment is 0.033 μB/atom. The formation energy (no corrections) comes out at -0.3369 eV/atom.

Cell: 4.656 4.656 4.795 Å, 90.00 90.00 90.00°
Element x y z (fractional)
N (0.000, 0.000, 0.000)
Cd (0.500, 0.500, 0.500)
Li (0.000, 0.500, 0.000)
Li (0.500, 0.000, 0.000)
La (0.000, 0.000, 0.500)

---

NaLiLaCd | GGA-PBE | optimized geometry

The density of states at the Fermi level comes out at 1.09 states/eV per atom. As for the space group: F-43m (216). Its formation energy is -0.0236 eV/atom. Its total moment is 0.000 μB/atom.

Cell: 5.400 5.400 5.400 Å, 60.00 60.00 60.00°
Element x y z (fractional)
Na (0.000, 0.000, 0.000)
Cd (0.750, 0.750, 0.750)
Li (0.250, 0.250, 0.250)
La (0.500, 0.500, 0.500)

---

LiLaNdCd | GGA-PBE | optimized geometry

The density of states at the Fermi level comes out at 1.59 states/eV per atom. As for the space group: F-43m (216). Its formation energy is -0.1212 eV/atom. Its total moment is 0.055 μB/atom.

Cell: 5.484 5.484 5.484 Å, 60.00 60.00 60.00°
Element x y z (fractional)
Cd (0.750, 0.750, 0.750)
Nd (0.000, 0.000, 0.000)
Li (0.250, 0.250, 0.250)
La (0.500, 0.500, 0.500)

---

LiLaNd2Cd4 | GGA-PBE | optimized geometry

The density of states at the Fermi level comes out at 0.89 states/eV per atom. As for the space group: R-3m (166). Its formation energy is -0.2735 eV/atom. Its total moment is 0.000 μB/atom.

Cell: 5.358 5.358 9.351 Å, 73.35 73.35 60.00°
Element x y z (fractional)
Li (0.500, 0.500, 0.500)
La (0.000, 0.000, 0.000)
Nd (0.753, 0.753, 0.741)
Nd (0.247, 0.247, 0.259)
Cd (0.382, 0.382, 0.854)
Cd (0.873, 0.873, 0.381)
Cd (0.127, 0.127, 0.619)
Cd (0.618, 0.618, 0.146)

---

LiLa2CdNi | GGA-PBE | optimized geometry

The density of states at the Fermi level comes out at 1.18 states/eV per atom. As for the space group: P4/mmm (123). Its formation energy is -0.1323 eV/atom. Its total moment is 0.000 μB/atom.

Cell: 5.382 5.382 4.799 Å, 90.00 90.00 90.00°
Element x y z (fractional)
Ni (0.000, 0.000, 0.000)
Cd (0.500, 0.500, 0.500)
Li (0.000, 0.000, 0.500)
La (0.000, 0.500, 0.000)
La (0.500, 0.000, 0.000)

---

LiLaCd2Ni | GGA-PBE | optimized geometry

The density of states at the Fermi level comes out at 0.85 states/eV per atom. As for the space group: P4/mmm (123). Its formation energy is -0.0448 eV/atom. Its total moment is 0.010 μB/atom.

Cell: 5.028 5.028 4.595 Å, 90.00 90.00 90.00°
Element x y z (fractional)
Ni (0.000, 0.000, 0.000)
Cd (0.000, 0.500, 0.000)
Cd (0.500, 0.000, 0.000)
Li (0.000, 0.000, 0.500)
La (0.500, 0.500, 0.500)

---

LiLaCd2Ni | GGA-PBE | optimized geometry

The density of states at the Fermi level comes out at 0.84 states/eV per atom. As for the space group: P4/mmm (123). Its formation energy is -0.1106 eV/atom. Its total moment is 0.001 μB/atom.

Cell: 5.144 5.144 5.002 Å, 90.00 90.00 90.00°
Element x y z (fractional)
Ni (0.000, 0.000, 0.000)
Cd (0.000, 0.500, 0.000)
Cd (0.500, 0.000, 0.000)
Li (0.500, 0.500, 0.500)
La (0.000, 0.000, 0.500)

---

LiLa2CdNi | GGA-PBE | optimized geometry

The density of states at the Fermi level comes out at 1.07 states/eV per atom. As for the space group: P4/mmm (123). Its formation energy is -0.1058 eV/atom. Its total moment is 0.000 μB/atom.

Cell: 5.376 5.376 5.084 Å, 90.00 90.00 90.00°
Element x y z (fractional)
Ni (0.000, 0.000, 0.000)
Cd (0.000, 0.000, 0.500)
Li (0.500, 0.500, 0.500)
La (0.000, 0.500, 0.000)
La (0.500, 0.000, 0.000)

---

LiLaCd2O4 | GGA-PBE | optimized geometry

As for the space group: Cmcm (63). Its total moment is 0.000 μB/atom. The formation energy (no corrections) comes out at -1.8829 eV/atom.

Cell: 3.423 5.823 11.272 Å, 90.00 90.00 107.09°
Element x y z (fractional)
Li (0.847, 0.693, 0.750)
Li (0.153, 0.307, 0.250)
La (0.113, 0.225, 0.750)
La (0.887, 0.775, 0.250)
Cd (0.369, 0.739, 0.551)
Cd (0.631, 0.261, 0.051)
Cd (0.631, 0.261, 0.449)
Cd (0.369, 0.739, 0.949)
O (0.276, 0.553, 0.129)
O (0.724, 0.447, 0.629)
O (0.724, 0.447, 0.871)
O (0.276, 0.553, 0.371)
O (0.000, 0.000, 0.500)
O (0.000, 0.000, 0.000)
O (0.449, 0.899, 0.750)
O (0.551, 0.101, 0.250)

---

Li2LaCdO | GGA-PBE | optimized geometry

The density of states at the Fermi level comes out at 0.73 states/eV per atom. As for the space group: P4/mmm (123). Its total moment is 0.135 μB/atom. The formation energy (no corrections) comes out at -1.0533 eV/atom.

Cell: 4.737 4.737 4.634 Å, 90.00 90.00 90.00°
Last column: magnetic moment on the atom in μB.
Element x y z (fractional)
Cd (0.500, 0.500, 0.500)  0.05
Li (0.000, 0.500, 0.000)  0.02
Li (0.500, 0.000, 0.000)  0.02
O (0.000, 0.000, 0.000)  0.01
La (0.000, 0.000, 0.500)  0.14

---

LiLa2CdO5 | GGA-PBE | optimized geometry

The density of states at the Fermi level comes out at 0.66 states/eV per atom. As for the space group: P4/mbm (127). Its total moment is 0.113 μB/atom. The formation energy (no corrections) comes out at -2.0926 eV/atom.

Cell: 5.584 6.847 6.847 Å, 90.00 90.00 90.00°
Last column: magnetic moment on the atom in μB.
Element x y z (fractional)
Li (0.000, 0.000, 0.500)  0.00
Li (0.000, 0.500, 0.000)  0.00
La (0.500, 0.669, 0.169)  0.01
La (0.500, 0.169, 0.331)  0.01
La (0.500, 0.831, 0.669)  0.01
La (0.500, 0.331, 0.831)  0.01
Cd (0.000, 0.500, 0.500)  -0.01
Cd (0.000, 0.000, 0.000)  -0.01
O (0.500, 0.500, 0.500)  0.07
O (0.500, 0.000, 0.000)  0.07
O (0.237, 0.145, 0.645)  0.20
O (0.237, 0.855, 0.355)  0.20
O (0.237, 0.355, 0.145)  0.20
O (0.237, 0.645, 0.855)  0.20
O (0.763, 0.145, 0.645)  0.20
O (0.763, 0.645, 0.855)  0.20
O (0.763, 0.855, 0.355)  0.20
O (0.763, 0.355, 0.145)  0.20

---

LiLa2CdO | GGA-PBE | optimized geometry

The density of states at the Fermi level comes out at 0.82 states/eV per atom. As for the space group: P4/mmm (123). Its total moment is 0.000 μB/atom. The formation energy (no corrections) comes out at -1.2385 eV/atom.

Cell: 5.079 5.079 4.417 Å, 90.00 90.00 90.00°
Element x y z (fractional)
Cd (0.500, 0.500, 0.500)
Li (0.000, 0.000, 0.500)
O (0.000, 0.000, 0.000)
La (0.000, 0.500, 0.000)
La (0.500, 0.000, 0.000)